No. 1
A geometry-optimized TmTaZnOs structure, computed with PBE.

## Properties
As for the space group: No. 216. For the total magnetic moment, the calculation gives 0.00 μB per atom. The formation energy comes out at -0.118 eV/atom. Its crystal system is cubic. As for the density of states at the Fermi level: 2.73 states/eV/cell.

abc: 4.660 4.660 4.660
angles: 60.00 60.00 60.00
Element x y z (fractional)
Ta1 0.250 0.250 0.250
Tm1 0.750 0.750 0.750
Zn1 0.000 0.000 0.000
Os1 0.500 0.500 0.500



No. 2
A geometry-optimized Ta2VOs structure, computed with PBE.

## Properties
As for the space group: No. 225. The offset from the most stable computed form comes out at 0 meV/atom. For the total magnetic moment, the calculation gives 0.00 μB per atom. The formation energy comes out at -0.327 eV/atom. Its crystal system is cubic. As for the density of states at the Fermi level: 3.78 states/eV/cell.

abc: 4.481 4.481 4.481
angles: 60.00 60.00 60.00
Element x y z (fractional)
Ta1 0.750 0.750 0.750
Ta2 0.250 0.250 0.250
V1 0.000 0.000 0.000
Os1 0.500 0.500 0.500



No. 3
A geometry-optimized Ta2VOs structure, computed with PBE.

## Properties
As for the space group: No. 123. The offset from the most stable computed form comes out at 1 meV/atom. For the total magnetic moment, the calculation gives 0.00 μB per atom. The formation energy comes out at -0.326 eV/atom. Its crystal system is tetragonal. As for the density of states at the Fermi level: 1.94 states/eV/cell.

abc: 3.148 4.500 4.500
angles: 90.00 90.00 90.00
Element x y z (fractional)
Ta1 0.000 0.000 0.500
Ta2 0.000 0.500 0.000
Os1 0.500 0.000 0.000
V1 0.500 0.500 0.500